An optimized crystal structure of Dy3Ge2Rh2, computed with GGA-PBEsol.

Unit cell a=5.506 b=7.678 c=13.072 alpha=90.00 beta=90.00 gamma=90.00
Fractional coordinates of all 28 atoms:
Rh 0.626 0.956 0.592
Rh 0.626 0.956 0.908
Rh 0.374 0.044 0.408
Rh 0.374 0.456 0.592
Rh 0.626 0.544 0.092
Rh 0.374 0.044 0.092
Rh 0.626 0.544 0.408
Rh 0.374 0.456 0.908
Ge 0.666 0.250 0.000
Ge 0.872 0.612 0.250
Ge 0.666 0.250 0.500
Ge 0.872 0.888 0.750
Ge 0.334 0.750 0.500
Ge 0.128 0.388 0.750
Ge 0.334 0.750 0.000
Ge 0.128 0.112 0.250
Dy 0.145 0.104 0.900
Dy 0.145 0.396 0.400
Dy 0.855 0.896 0.400
Dy 0.145 0.396 0.100
Dy 0.855 0.604 0.600
Dy 0.630 0.239 0.750
Dy 0.370 0.761 0.250
Dy 0.855 0.896 0.100
Dy 0.630 0.261 0.250
Dy 0.370 0.739 0.750
Dy 0.145 0.104 0.600
Dy 0.855 0.604 0.900

Output
Energy of formation, meV per atom: -951
Final energy, eV/atom: -6.82